#one
DFT (PBEsol) results for a geometry-optimized TlCrRu2 structure. Values from VASP.

Quantum ESPRESSO input file:
```
&SYSTEM
  ibrav = 0, nat = 4, ntyp = 3
/
ATOMIC_SPECIES
Cr 52.00 Cr.upf
Ru 101.07 Ru.upf
Tl 204.38 Tl.upf
CELL_PARAMETERS angstrom
-0.3620 -2.1338 -2.2042
-2.1232 -1.4278 1.7309
-4.5305 3.5144 -2.6581
ATOMIC_POSITIONS angstrom
Cr -4.8959 1.0531 -2.3801
Ru -2.2464 -1.0022 -0.8256
Ru -4.3815 3.3988 -2.5707
Tl -2.2878 1.7747 -1.3423
```

Output
M_tot (μB per atom): 0.000

#two
DFT (PBEsol) results for a geometry-optimized TlCrRu2 structure. Values from VASP.

Quantum ESPRESSO input file:
```
&SYSTEM
  ibrav = 0, nat = 4, ntyp = 3
/
ATOMIC_SPECIES
Tl 204.38 Tl.upf
Ru 101.07 Ru.upf
Cr 52.00 Cr.upf
CELL_PARAMETERS angstrom
-2.2635 -1.1577 -1.3121
2.2782 0.1042 -4.0220
1.6287 -3.6008 3.4867
ATOMIC_POSITIONS angstrom
Tl -1.1318 -0.5789 -0.6561
Ru 0.9117 -2.3003 0.4568
Ru 0.7316 -2.3540 -2.3042
Cr 1.1391 0.0521 -2.0110
```

Output
M_tot (μB per atom): 0.344

Most stable: #two. Least stable: #one.

#one
DFT (PBEsol) results for a geometry-optimized Zn2CrRu structure. Values from VASP.

Quantum ESPRESSO input file:
```
&SYSTEM
  ibrav = 0, nat = 4, ntyp = 3
/
ATOMIC_SPECIES
Zn 65.41 Zn.upf
Cr 52.00 Cr.upf
Ru 101.07 Ru.upf
CELL_PARAMETERS angstrom
-1.1601 -0.0045 -2.4247
0.9011 -4.1683 1.0665
-4.1510 0.2970 1.9853
ATOMIC_POSITIONS angstrom
Zn -4.0732 0.2849 1.9482
Zn -3.0232 -1.8510 1.4498
Cr -1.6419 -4.0289 0.7934
Ru -1.5771 -2.0059 -0.7320
```

Output
M_tot (μB per atom): 0.000

#two
DFT (PBEsol) results for a geometry-optimized Zn2CrRu structure. Values from VASP.

Quantum ESPRESSO input file:
```
&SYSTEM
  ibrav = 0, nat = 4, ntyp = 3
/
ATOMIC_SPECIES
Zn 65.41 Zn.upf
Cr 52.00 Cr.upf
Ru 101.07 Ru.upf
CELL_PARAMETERS angstrom
-2.9910 0.3032 -0.1701
0.1546 -0.7103 -3.9845
-0.4616 -4.1483 0.7216
ATOMIC_POSITIONS angstrom
Zn 0.0000 0.0000 0.0000
Zn -1.4182 -0.2035 -2.0773
Cr -1.7263 -1.9225 0.2757
Ru -0.1535 -2.4293 -1.6315
```

Output
M_tot (μB per atom): 0.309

Most stable: #one. Least stable: #two.